Crystalline LaPbSe2 at its relaxed geometry. Source: Alexandria via LeMat-Bulk, functional GGA-PBE.

Values from the calculation:
Formation energy without anion corrections: -0.95 eV per atom

a b c (Å): 6.2572 6.2572 15.8915
angles (deg): 90.00 90.00 90.00
Space group I-42d (No. 122)
Symmetry-distinct sites (fractional):
La  0.0000  0.0000  0.0000 x4
Pb  0.0000  0.0000  0.5000 x4
Se  0.2313  0.2500  0.1250 x8



Crystalline Ca3Dy2ErTe6 at its relaxed geometry. Source: Alexandria via LeMat-Bulk, functional GGA-PBE.

Values from the calculation:
Formation energy without anion corrections: -1.44 eV per atom

a b c (Å): 7.6001 13.1481 7.7428
angles (deg): 90.00 109.12 90.00
Space group C2/m (No. 12)
Symmetry-distinct sites (fractional):
Ca  0.0000  0.0000  0.0000 x2
Ca  0.0000  0.3324  0.0000 x4
Dy  0.0000  0.1662  0.5000 x4
Er  0.0000  0.5000  0.5000 x2
Te  0.2467  0.3343  0.7437 x8
Te  0.2505  0.0000  0.7446 x4



Crystalline Ho2Er2In at its relaxed geometry. Source: Alexandria via LeMat-Bulk, functional GGA-PBE.

Values from the calculation:
Energy above the lowest structure with this stoichiometry: 0.00 kJ per mole of atoms

a b c (Å): 10.9044 4.7657 7.7104
angles (deg): 90.00 134.84 90.00
Space group C2/m (No. 12)
Symmetry-distinct sites (fractional):
Ho  0.1063  0.0000  0.3073 x4
Er  0.2010  0.5000  0.0945 x4
In  0.0000  0.5000  0.5000 x2



Crystalline Pu2PS at its relaxed geometry. Source: Alexandria via LeMat-Bulk, functional GGA-PBE.

Values from the calculation:
Formation energy without anion corrections: -1.48 eV per atom
Energy above the lowest structure with this stoichiometry: 0.00 kJ per mole of atoms

a b c (Å): 3.9989 3.9989 19.5098
angles (deg): 90.00 90.00 120.00
Space group R-3m (No. 166, hexagonal axes)
Symmetry-distinct sites (fractional):
Pu  0.0000  0.0000  0.2505 x6
P  0.0000  0.0000  0.0000 x3
S  0.0000  0.0000  0.5000 x3



Crystalline KUIn2I6 at its relaxed geometry. Source: Alexandria via LeMat-Bulk, functional GGA-PBE.

Values from the calculation:
Formation energy without anion corrections: -0.80 eV per atom

a b c (Å): 8.6793 8.6793 22.6132
angles (deg): 90.00 90.00 120.00
Space group R3 (No. 146, hexagonal axes)
Symmetry-distinct sites (fractional):
K  0.0000  0.0000  0.0000 x3
U  0.0000  0.0000  0.5093 x3
In  0.0000  0.0000  0.1962 x3
In  0.0000  0.0000  0.7058 x3
I  0.0493  0.7051  0.1022 x9
I  0.0508  0.3832  0.2636 x9



Crystalline MgReNiGe2 at its relaxed geometry. Source: Alexandria via LeMat-Bulk, functional GGA-PBE.

Values from the calculation:
Calculated total energy: -5.230 eV/atom

a b c (Å): 4.7585 4.7585 4.7653
angles (deg): 90.00 90.00 90.00
Space group P4/mmm (No. 123)
Symmetry-distinct sites (fractional):
Mg  0.0000  0.0000  0.0000 x1
Re  0.5000  0.5000  0.5000 x1
Ni  0.5000  0.5000  0.0000 x1
Ge  0.0000  0.5000  0.5000 x2



Crystalline PrNdEuTm at its relaxed geometry. Source: Alexandria via LeMat-Bulk, functional GGA-PBE.

Values from the calculation:
Calculated total energy: -5.948 eV/atom

a b c (Å): 8.2662 8.2662 8.2662
angles (deg): 90.00 90.00 90.00
Space group F-43m (No. 216)
Symmetry-distinct sites (fractional):
Pr  0.0000  0.0000  0.0000 x4
Nd  0.0000  0.0000  0.5000 x4
Eu  0.2500  0.2500  0.2500 x4
Tm  0.2500  0.2500  0.7500 x4



Crystalline AsP2 at its relaxed geometry. Source: Alexandria via LeMat-Bulk, functional GGA-PBE.

Values from the calculation:
Energy above the lowest structure with this stoichiometry: 68.39 kJ per mole of atoms

a b c (Å): 7.3124 7.3124 7.3124
angles (deg): 90.00 90.00 90.00
Space group Fd-3m (No. 227, origin choice 2)
Symmetry-distinct sites (fractional):
As  0.1250  0.1250  0.1250 x8
P  0.0000  0.0000  0.5000 x16